SrZnHg2Pb: optimized geometry, PBE.

Computed properties:
ΔE_f (eV per atom): -0.13
DFT total energy (eV/atom): -1.579
Space-group type: No. 123

Unit cell a=5.216 b=5.216 c=5.535 alpha=90.00 beta=90.00 gamma=90.00
Element x y z (fractional)
Pb  0.000  0.000  0.500
Sr  0.500  0.500  0.500
Zn  0.000  0.000  0.000
Hg  0.000  0.500  0.000
Hg  0.500  0.000  0.000